Compound: TbCeHo
Source: Alexandria via LeMat-Bulk
Functional: GGA-PBE
Structure: optimized geometry

## Properties
- Energy relative to the elements: 64 meV per atom
- Density of states at the Fermi level: 6.5 states/eV/f.u.
- Total energy: -14.95 eV/cell

Cell: 3.510 3.510 8.618 Å, 90.00 90.00 120.00°
Last column: magnetic moment on the atom in μB.
Atoms (fractional coordinates):
Ce: 0.667 0.333 0.333  0.50
Tb: 0.333 0.667 0.663  -0.01
Ho: 0.000 0.000 0.004  -0.01

Compound: TbCeHo3
Source: Alexandria via LeMat-Bulk
Functional: GGA-PBE
Structure: optimized geometry

## Properties
- Energy relative to the elements: 49 meV per atom
- Density of states at the Fermi level: 8.5 states/eV/f.u.
- Total energy: -96.20 eV/cell

Cell: 3.536 7.057 24.792 Å, 90.00 90.00 90.00°
Last column: magnetic moment on the atom in μB.
Atoms (fractional coordinates):
Ho: 0.250 0.626 0.750  0.00
Ho: 0.250 0.126 0.750  0.00
Ce: 0.750 0.875 0.651  0.56
Tb: 0.250 0.629 0.551  -0.01
Ce: 0.250 0.125 0.349  0.56
Ce: 0.750 0.375 0.849  0.56
Ho: 0.250 0.621 0.948  0.01
Ho: 0.750 0.377 0.650  0.00
Tb: 0.250 0.129 0.949  -0.01
Ho: 0.750 0.879 0.448  0.01
Tb: 0.750 0.871 0.051  -0.01
Ho: 0.750 0.374 0.250  0.00
Ce: 0.250 0.625 0.151  0.56
Ho: 0.250 0.123 0.150  0.00
Tb: 0.750 0.371 0.449  -0.01
Ho: 0.250 0.623 0.350  0.00
Ho: 0.250 0.121 0.552  0.01
Ho: 0.750 0.877 0.850  0.00
Ho: 0.750 0.874 0.250  0.00
Ho: 0.750 0.379 0.052  0.01

Compound: Tb2CeHo8
Source: Alexandria via LeMat-Bulk
Functional: GGA-PBE
Structure: optimized geometry

## Properties
- Energy relative to the elements: 38 meV per atom
- Density of states at the Fermi level: 17.4 states/eV/f.u.
- Total energy: -51.40 eV/cell

Cell: 4.995 7.898 9.348 Å, 104.67 105.50 90.00°
Last column: magnetic moment on the atom in μB.
Atoms (fractional coordinates):
Ho: 0.680 0.908 0.361  0.00
Ho: 0.864 0.820 0.728  0.04
Ho: 0.045 0.730 0.090  0.04
Ho: 0.136 0.180 0.272  0.04
Ho: 0.320 0.092 0.639  0.00
Ho: 0.955 0.270 0.910  0.04
Tb: 0.228 0.637 0.457  -0.02
Ho: 0.410 0.546 0.819  0.01
Tb: 0.772 0.363 0.543  -0.02
Ho: 0.590 0.454 0.181  0.01
Ce: 0.500 0.000 0.000  0.76

Compound: Tb4CeHo
Source: Alexandria via LeMat-Bulk
Functional: GGA-PBE
Structure: optimized geometry

## Properties
- Energy relative to the elements: 29 meV per atom
- Density of states at the Fermi level: 10.0 states/eV/f.u.
- Total energy: -57.72 eV/cell

Cell: 3.573 6.188 17.251 Å, 96.75 90.00 90.00°
Last column: magnetic moment on the atom in μB.
Atoms (fractional coordinates):
Tb: 0.500 0.386 0.667  -0.01
Tb: 0.500 0.890 0.165  0.01
Tb: 0.000 0.614 0.833  -0.01
Ce: 0.500 0.000 0.500  0.69
Tb: 0.000 0.110 0.335  0.01
Ho: 0.000 0.500 0.500  0.04
Ce: 0.000 0.000 0.000  0.69
Ho: 0.500 0.500 0.000  0.04
Tb: 0.000 0.386 0.167  -0.01
Tb: 0.000 0.890 0.665  0.01
Tb: 0.500 0.614 0.333  -0.01
Tb: 0.500 0.110 0.835  0.01

Compound: Tb2CeHo8
Source: Alexandria via LeMat-Bulk
Functional: GGA-PBE
Structure: optimized geometry

## Properties
- Energy relative to the elements: 176 meV per atom
- Density of states at the Fermi level: 21.8 states/eV/f.u.
- Total energy: -49.88 eV/cell

Cell: 5.529 10.105 10.105 Å, 39.83 92.69 92.69°
Last column: magnetic moment on the atom in μB.
Atoms (fractional coordinates):
Ho: 0.766 0.813 0.813  0.01
Ho: 0.733 0.397 0.867  0.00
Ho: 0.733 0.867 0.397  0.00
Tb: 0.751 0.284 0.284  -0.04
Ho: 0.234 0.187 0.187  0.01
Ho: 0.238 0.547 0.547  0.01
Ce: 0.000 0.000 0.000  0.94
Tb: 0.249 0.716 0.716  -0.04
Ho: 0.762 0.453 0.453  0.01
Ho: 0.267 0.603 0.133  0.00
Ho: 0.267 0.133 0.603  0.00

Compound: Tb14CeHo
Source: Alexandria via LeMat-Bulk
Functional: GGA-PBE
Structure: optimized geometry

## Properties
- Energy relative to the elements: 26 meV per atom
- Density of states at the Fermi level: 22.4 states/eV/f.u.
- Total energy: -74.92 eV/cell

Cell: 7.116 7.116 10.057 Å, 90.00 90.00 90.00°
Last column: magnetic moment on the atom in μB.
Atoms (fractional coordinates):
Tb: 0.375 0.625 0.500  -0.04
Tb: 0.875 0.625 0.000  0.02
Tb: 0.626 0.876 0.249  0.01
Tb: 0.124 0.374 0.751  0.01
Tb: 0.124 0.876 0.751  0.01
Tb: 0.626 0.876 0.751  0.01
Ce: 0.875 0.125 0.000  0.70
Tb: 0.124 0.876 0.249  0.01
Tb: 0.124 0.374 0.249  0.01
Tb: 0.375 0.125 0.000  0.02
Tb: 0.626 0.374 0.751  0.01
Ho: 0.375 0.625 0.000  0.00
Tb: 0.875 0.625 0.500  -0.01
Tb: 0.375 0.125 0.500  -0.01
Tb: 0.626 0.374 0.249  0.01
Tb: 0.875 0.125 0.500  -0.01